[1]
Entry from the Alexandria database: a relaxed Pm2UCuSe5 crystal (GGA-PBE).

Cell and atoms, written as POSCAR:
```
Pm2UCuSe5
1.0
-3.972 -0.576 0.377
1.301 -0.730 -8.960
1.862 -12.029 1.251
Pm U Cu Se
4 2 2 10
direct
0.878 0.756 0.816
0.109 0.218 0.688
0.122 0.244 0.316
0.891 0.782 0.188
0.805 0.611 0.514
0.195 0.389 0.014
0.561 0.123 0.947
0.439 0.877 0.447
0.358 0.717 0.005
0.685 0.370 0.847
0.496 0.993 0.774
0.292 0.584 0.679
0.958 0.917 0.554
0.642 0.283 0.505
0.315 0.630 0.347
0.504 0.007 0.274
0.708 0.416 0.179
0.042 0.083 0.054
```

Output
ρ: 7.498 g/cm³
Space-group type: No. 36
E_tot: -6.056 eV/atom
Energy relative to the elements, uncorrected: -31.2 kcal/mol of atoms

***

[2]
Entry from the Alexandria database: a relaxed Pm2ZrCuSe5 crystal (GGA-PBE).

Cell and atoms, written as POSCAR:
```
Pm2ZrCuSe5
1.0
-0.305 3.655 1.503
-8.366 -3.112 0.643
2.451 -4.316 10.991
Pm Zr Cu Se
4 2 2 10
direct
0.875 0.749 0.818
0.114 0.229 0.693
0.125 0.251 0.318
0.886 0.771 0.193
0.814 0.627 0.516
0.186 0.373 0.016
0.567 0.134 0.942
0.433 0.866 0.442
0.349 0.698 0.008
0.694 0.388 0.854
0.496 0.992 0.771
0.291 0.582 0.673
0.960 0.920 0.549
0.651 0.302 0.508
0.306 0.612 0.354
0.504 0.008 0.271
0.709 0.418 0.173
0.040 0.080 0.049
```

Output
ρ: 6.684 g/cm³
Space-group type: No. 36
E_tot: -5.835 eV/atom
Energy relative to the elements, uncorrected: -33.2 kcal/mol of atoms

***

[3]
Entry from the Alexandria database: a relaxed PmCu4Si3 crystal (GGA-PBE).

Cell and atoms, written as POSCAR:
```
PmCu4Si3
1.0
-0.588 0.810 -3.938
0.520 -3.931 -0.886
-7.398 -1.172 0.864
Si Cu Pm
3 4 1
direct
0.000 0.000 0.000
0.500 0.500 0.344
0.500 0.500 0.656
0.500 0.000 0.174
0.000 0.500 0.174
0.500 0.000 0.826
0.000 0.500 0.826
0.000 0.000 0.500
```

Output
ρ: 6.448 g/cm³
Space-group type: No. 123
E_tot: -5.039 eV/atom
Energy relative to the elements, uncorrected: -8.4 kcal/mol of atoms

***

[4]
Entry from the Alexandria database: a relaxed PmCuSi3 crystal (GGA-PBE).

Cell and atoms, written as POSCAR:
```
PmCuSi3
1.0
-2.647 -3.113 -0.314
1.814 -1.859 3.145
-7.475 5.839 5.118
Pm Cu Si
2 2 6
direct
0.500 0.833 0.666
0.500 0.167 0.334
0.000 0.611 0.222
0.000 0.389 0.778
0.000 0.055 0.110
0.000 0.945 0.890
0.000 0.279 0.558
0.000 0.721 0.442
0.500 0.445 0.890
0.500 0.555 0.110
```

Output
ρ: 5.496 g/cm³
Space-group type: No. 65
E_tot: -5.462 eV/atom
Distance to the lowest polymorph of the same formula: 0.00 eV/f.u.
Energy relative to the elements, uncorrected: -10.1 kcal/mol of atoms